(1)
The following is a PBE calculation of crystalline GaPd3O at its relaxed geometry, from Alexandria.

Output
Distance to the lowest polymorph of the same formula, kJ/mol of atoms: 0.0
Crystal system: cubic

Cell lengths 4.2374, 4.2374, 4.2374 Å; angles 90.00, 90.00, 90.00 degrees
Closest atoms and distances in Å follow each position.
Space group Pm-3m (No. 221)
Inequivalent atoms, fractional coordinates:
Ga 0.0000 0.0000 0.0000 (multiplicity 1)  12 Pd 3.00
Pd 0.0000 0.5000 0.5000 (multiplicity 3)  2 O 2.12
O 0.5000 0.5000 0.5000 (multiplicity 1)  6 Pd 2.12

***

(2)
The following is a PBE calculation of crystalline GaPdO2 at its relaxed geometry, from Alexandria.

Output
Energy, eV/f.u.: -22.2
Crystal system: trigonal

Cell lengths 2.9531, 2.9531, 6.2082 Å; angles 90.00, 90.00, 120.00 degrees
Closest atoms and distances in Å follow each position.
Space group P3m1 (No. 156)
Inequivalent atoms, fractional coordinates:
Ga 0.0000 0.0000 0.0000 (multiplicity 1)  6 O 1.99-2.01
Pd 0.3333 0.6667 0.5016 (multiplicity 1)  1 O 2.03
O 0.3333 0.6667 0.8285 (multiplicity 1)  3 Ga 2.01, 1 Pd 2.03
O 0.6667 0.3333 0.1657 (multiplicity 1)  3 Ga 1.99

***

(3)
The following is a PBE calculation of crystalline GaPdO2 at its relaxed geometry, from Alexandria.

Output
Energy, eV/f.u.: -21.7
Crystal system: tetragonal

Cell lengths 5.0620, 5.0620, 8.4132 Å; angles 90.00, 90.00, 90.00 degrees
Closest atoms and distances in Å follow each position.
Space group I-42d (No. 122)
Inequivalent atoms, fractional coordinates:
Ga 0.0000 0.0000 0.0000 (multiplicity 4)  4 O 1.87
Pd 0.0000 0.0000 0.5000 (multiplicity 4)  4 O 2.33
O 0.1750 0.2500 0.1250 (multiplicity 8)  2 Ga 1.87

***

(4)
The following is a PBE calculation of crystalline GaPdO2 at its relaxed geometry, from Alexandria.

Output
Energy, eV/f.u.: -22.0
Crystal system: orthorhombic

Cell lengths 5.3859, 3.5498, 10.0944 Å; angles 90.00, 90.00, 90.00 degrees
Closest atoms and distances in Å follow each position.
Space group Pnma (No. 62)
Inequivalent atoms, fractional coordinates:
Ga 0.0185 0.2500 0.1326 (multiplicity 4)  4 O 1.91-1.94
Pd 0.0410 0.7500 0.4143 (multiplicity 4)  3 O 2.24-2.32
O 0.1115 0.7500 0.0727 (multiplicity 4)  2 Ga 1.94
O 0.1853 0.2500 0.3026 (multiplicity 4)  2 Ga 1.91-1.94

***

(5)
The following is a PBE calculation of crystalline GaPdO2 at its relaxed geometry, from Alexandria.

Output
Energy, eV/f.u.: -21.4
Crystal system: monoclinic

Cell lengths 6.7222, 5.6998, 5.4023 Å; angles 90.00, 116.68, 90.00 degrees
Closest atoms and distances in Å follow each position.
Space group C2/c (No. 15)
Inequivalent atoms, fractional coordinates:
Ga 0.0000 0.1102 0.2500 (multiplicity 4)  4 O 1.99
Pd 0.0000 0.4350 0.7500 (multiplicity 4)  4 O 2.28-2.29
O 0.1750 0.1272 0.6604 (multiplicity 8)  2 Ga 1.99

***

(6)
The following is a PBE calculation of crystalline GaPdO2 at its relaxed geometry, from Alexandria.

Output
Energy, eV/f.u.: -21.3
Crystal system: trigonal

Cell lengths 3.2235, 3.2235, 18.4649 Å; angles 90.00, 90.00, 120.00 degrees
Closest atoms and distances in Å follow each position.
Space group R3m (No. 160, hexagonal axes)
Inequivalent atoms, fractional coordinates:
Ga 0.0000 0.0000 0.0000 (multiplicity 3)  4 O 1.85-1.94
Pd 0.0000 0.0000 0.4941 (multiplicity 3)  3 O 2.17
O 0.0000 0.0000 0.1003 (multiplicity 3)  1 Ga 1.85
O 0.0000 0.0000 0.6371 (multiplicity 3)  3 Ga 1.94

***

(7)
The following is a PBE calculation of crystalline GaPdO3 at its relaxed geometry, from Alexandria.

Output
Energy, eV/f.u.: -26.2
Crystal system: trigonal

Cell lengths 5.2074, 5.2074, 6.1482 Å; angles 90.00, 90.00, 120.00 degrees
Closest atoms and distances in Å follow each position.
Space group P-31m (No. 162)
Inequivalent atoms, fractional coordinates:
Ga 0.3333 0.6667 0.0000 (multiplicity 2)  6 O 2.00
Pd 0.0000 0.0000 0.2801 (multiplicity 2)  3 O 1.99
O 0.0000 0.3626 0.8199 (multiplicity 6)  1 Pd 1.99, 2 Ga 2.00

***

(8)
The following is a PBE calculation of crystalline GaPdO2 at its relaxed geometry, from Alexandria.

Output
Energy, eV/f.u.: -21.8
Crystal system: monoclinic

Cell lengths 5.2663, 2.9348, 6.2320 Å; angles 90.00, 108.28, 90.00 degrees
Closest atoms and distances in Å follow each position.
Space group C2/m (No. 12)
Inequivalent atoms, fractional coordinates:
Ga 0.0000 0.0000 0.0000 (multiplicity 2)  6 O 2.01-2.03
Pd 0.0000 0.0000 0.5000 (multiplicity 2)  4 O 2.41
O 0.1086 0.5000 0.8222 (multiplicity 4)  3 Ga 2.01-2.03

***

(9)
The following is a PBE calculation of crystalline Ga3PdO at its relaxed geometry, from Alexandria.

Output
Distance to the lowest polymorph of the same formula, kJ/mol of atoms: 0.0
Crystal system: cubic

Cell lengths 4.3177, 4.3177, 4.3177 Å; angles 90.00, 90.00, 90.00 degrees
Closest atoms and distances in Å follow each position.
Space group Pm-3m (No. 221)
Inequivalent atoms, fractional coordinates:
Ga 0.0000 0.0000 0.5000 (multiplicity 3)  2 O 2.16
Pd 0.5000 0.5000 0.5000 (multiplicity 1)  12 Ga 3.05
O 0.0000 0.0000 0.0000 (multiplicity 1)  6 Ga 2.16

***

(10)
The following is a PBE calculation of crystalline GaPdO2 at its relaxed geometry, from Alexandria.

Output
Energy, eV/f.u.: -18.9
Crystal system: cubic

Cell lengths 5.5841, 5.5841, 5.5841 Å; angles 90.00, 90.00, 90.00 degrees
Closest atoms and distances in Å follow each position.
Space group Fm-3m (No. 225)
Inequivalent atoms, fractional coordinates:
Ga 0.0000 0.0000 0.0000 (multiplicity 4)  8 O 2.42
Pd 0.0000 0.0000 0.5000 (multiplicity 4)  8 O 2.42
O 0.2500 0.2500 0.2500 (multiplicity 8)  4 Pd 2.42, 4 Ga 2.42

***

(11)
The following is a PBE calculation of crystalline GaPdO2 at its relaxed geometry, from Alexandria.

Output
Energy, eV/f.u.: -20.7
Crystal system: tetragonal

Cell lengths 6.1596, 6.1596, 5.3601 Å; angles 90.00, 90.00, 90.00 degrees
Closest atoms and distances in Å follow each position.
Space group I4/mcm (No. 140)
Inequivalent atoms, fractional coordinates:
Ga 0.0000 0.5000 0.2500 (multiplicity 4)  4 O 1.91
Pd 0.0000 0.0000 0.2500 (multiplicity 4)  2 Pd 2.68, 8 O 2.68
O 0.1564 0.3436 0.0000 (multiplicity 8)  2 Ga 1.91

***

(12)
The following is a PBE calculation of crystalline GaPdO4 at its relaxed geometry, from Alexandria.

Output
Energy, eV/f.u.: -32.8
Crystal system: tetragonal

Cell lengths 6.4814, 6.4814, 6.1991 Å; angles 90.00, 90.00, 90.00 degrees
Closest atoms and distances in Å follow each position.
Space group I4_1md (No. 109)
Inequivalent atoms, fractional coordinates:
Ga 0.0000 0.0000 0.0000 (multiplicity 4)  6 O 1.96-2.02
Pd 0.0000 0.0000 0.5133 (multiplicity 4)  6 O 1.99-2.02
O 0.0000 0.3036 0.0099 (multiplicity 8)  2 Ga 1.96-1.97, 1 Pd 1.99
O 0.0000 0.3080 0.5059 (multiplicity 8)  2 Pd 2.00-2.02, 1 Ga 2.02

***

Repeat the twelfth record exactly.
The following is a PBE calculation of crystalline GaPdO4 at its relaxed geometry, from Alexandria.

Output
Energy, eV/f.u.: -32.8
Crystal system: tetragonal

Cell lengths 6.4814, 6.4814, 6.1991 Å; angles 90.00, 90.00, 90.00 degrees
Closest atoms and distances in Å follow each position.
Space group I4_1md (No. 109)
Inequivalent atoms, fractional coordinates:
Ga 0.0000 0.0000 0.0000 (multiplicity 4)  6 O 1.96-2.02
Pd 0.0000 0.0000 0.5133 (multiplicity 4)  6 O 1.99-2.02
O 0.0000 0.3036 0.0099 (multiplicity 8)  2 Ga 1.96-1.97, 1 Pd 1.99
O 0.0000 0.3080 0.5059 (multiplicity 8)  2 Pd 2.00-2.02, 1 Ga 2.02